[1]
# PaNiSbRu

Crystalline PaNiSbRu at its relaxed geometry (PBE, Alexandria via LeMat-Bulk).

The structure belongs to space group F-43m (No. 216); the cell edges are 6.6638, 6.6638 and 6.6638 Å and the angles 90.00°, 90.00° and 90.00°. The asymmetric unit holds Pa at (0.0000, 0.0000, 0.0000), Ni at (0.2500, 0.2500, 0.7500), Sb at (0.0000, 0.0000, 0.5000) and Ru at (0.2500, 0.2500, 0.2500).

The final energy comes out at -119.1 eV/cell. The value obtained for the magnetization is 0.0 μB/cell. The value obtained for the theoretical density is 11.5 g/cm³.

***

[2]
# K2TlCd6Pt

Crystalline K2TlCd6Pt at its relaxed geometry (PBE, Alexandria via LeMat-Bulk).

The structure belongs to space group Pmmn (No. 59, origin choice 2); the cell edges are 7.9095, 10.0734 and 7.8361 Å and the angles 90.00°, 90.00° and 90.00°. The asymmetric unit holds K at (0.2500, 0.0435, 0.2219), Tl at (0.2500, 0.7500, 0.9020), Cd at (0.0386, 0.2500, 0.8649), Cd at (0.0680, 0.7500, 0.5221), Cd at (0.2500, 0.5049, 0.6907) and Pt at (0.2500, 0.2500, 0.5922).

The final energy comes out at -34.3 eV/cell. The value obtained for the magnetization is 0.0 μB/cell. The value obtained for the theoretical density is 6.1 g/cm³. For the formation energy, the calculation gives -0.104 eV per atom.

***

[3]
# Cd2PCl2

Crystalline Cd2PCl2 at its relaxed geometry (PBE, Alexandria via LeMat-Bulk).

The structure belongs to space group P2_1/c (No. 14); the cell edges are 7.8394, 9.0992 and 8.1204 Å and the angles 90.00°, 119.66° and 90.00°. The asymmetric unit holds Cd at (0.0319, 0.2061, 0.2112), Cd at (0.4307, 0.5787, 0.2314), P at (0.0657, 0.6087, 0.0546), Cl at (0.2423, 0.5267, 0.6950) and Cl at (0.4222, 0.1957, 0.9223).

The final energy comes out at -57.7 eV/cell. The value obtained for the magnetization is 0.0 μB/cell. The value obtained for the theoretical density is 4.3 g/cm³.

***

[4]
# TbPa3P4N12

Crystalline TbPa3P4N12 at its relaxed geometry (PBE, Alexandria via LeMat-Bulk).

The structure belongs to space group R32 (No. 155, hexagonal axes); the cell edges are 10.8287, 10.8287 and 8.6956 Å and the angles 90.00°, 90.00° and 120.00°. The asymmetric unit holds Tb at (0.0000, 0.0000, 0.0000), Pa at (0.0000, 0.5389, 0.0000), P at (0.0000, 0.0000, 0.5000), P at (0.0000, 0.4606, 0.5000), N at (0.0000, 0.6078, 0.5000), N at (0.0000, 0.8527, 0.5000) and N at (0.0150, 0.1978, 0.1714).

The final energy comes out at -515.0 eV/cell. The value obtained for the magnetization is 0.0 μB/cell. The value obtained for the theoretical density is 6.5 g/cm³.

***

[5]
# HgAs2Ru

Crystalline HgAs2Ru at its relaxed geometry (PBE, Alexandria via LeMat-Bulk).

The structure belongs to space group Pmmm (No. 47); the cell edges are 3.4331, 4.5531 and 4.6288 Å and the angles 90.00°, 90.00° and 90.00°. The asymmetric unit holds Hg at (0.0000, 0.0000, 0.0000), As at (0.0000, 0.5000, 0.5000), As at (0.5000, 0.0000, 0.5000) and Ru at (0.5000, 0.5000, 0.0000).

The final energy comes out at -16.6 eV/cell. The value obtained for the magnetization is 0.0 μB/cell. The value obtained for the theoretical density is 10.4 g/cm³. For the formation energy, the calculation gives 0.571 eV per atom.

***

[6]
# Rb2BaLaS

Crystalline Rb2BaLaS at its relaxed geometry (PBE, Alexandria via LeMat-Bulk).

The structure belongs to space group P4/mmm (No. 123); the cell edges are 6.8085, 6.8085 and 6.1383 Å and the angles 90.00°, 90.00° and 90.00°. The asymmetric unit holds Rb at (0.0000, 0.5000, 0.0000), Ba at (0.0000, 0.0000, 0.0000), La at (0.0000, 0.0000, 0.5000) and S at (0.5000, 0.5000, 0.5000).

The final energy comes out at -8.8 eV/cell. The value obtained for the magnetization is 0.0 μB/cell. The value obtained for the theoretical density is 2.8 g/cm³. The value obtained for the energy above the most stable polymorph in this dataset is 90.2 kJ per mole of atoms.

***

[7]
# CaLa2NiSn

Crystalline CaLa2NiSn at its relaxed geometry (PBE, Alexandria via LeMat-Bulk).

The structure belongs to space group P4/mmm (No. 123); the cell edges are 5.3147, 5.3147 and 5.4207 Å and the angles 90.00°, 90.00° and 90.00°. The asymmetric unit holds Ca at (0.0000, 0.0000, 0.0000), La at (0.0000, 0.5000, 0.5000), Ni at (0.0000, 0.0000, 0.5000) and Sn at (0.5000, 0.5000, 0.0000).

The final energy comes out at -23.6 eV/cell. The value obtained for the magnetization is 0.0 μB/cell. The value obtained for the theoretical density is 5.4 g/cm³. For the formation energy, the calculation gives -0.384 eV per atom. The value obtained for the energy above the most stable polymorph in this dataset is 0.0 kJ per mole of atoms.

***

[8]
# HgBi2Au

Crystalline HgBi2Au at its relaxed geometry (PBE, Alexandria via LeMat-Bulk).

The structure belongs to space group P4/mmm (No. 123); the cell edges are 4.9378, 4.9378 and 4.2752 Å and the angles 90.00°, 90.00° and 90.00°. The asymmetric unit holds Hg at (0.0000, 0.0000, 0.0000), Bi at (0.0000, 0.5000, 0.5000) and Au at (0.5000, 0.5000, 0.0000).

The final energy comes out at -10.9 eV/cell. The value obtained for the magnetization is 0.0 μB/cell. The value obtained for the theoretical density is 13.0 g/cm³. For the formation energy, the calculation gives 0.121 eV per atom.